(1)
A plane-wave DFT calculation with GGA-PBE was carried out for P2RuSe after structural relaxation.

Summary:
The volume comes out at 15.0 A^3/atom. The raw total energy comes out at -5.27 eV/atom. Its total magnetic moment is 0.0 μB/cell.

a = 4.506 Å, b = 4.506 Å, c = 2.949 Å
α = 90.00°, β = 90.00°, γ = 90.00°
Space group P4/mmm (No. 123)
Symmetry-distinct sites (fractional):
P 0.000 0.500 0.000
Ru 0.000 0.000 0.500
Se 0.500 0.500 0.500

***

(2)
A plane-wave DFT calculation with GGA-PBE was carried out for LaHf3As after structural relaxation.

Summary:
The volume comes out at 27.3 A^3/atom. The raw total energy comes out at -6.28 eV/atom. The calculation puts the energy of formation from the pure elements at 1.612 eV per atom. Its total magnetic moment is 0.0 μB/cell.

a = 5.146 Å, b = 5.146 Å, c = 5.146 Å
α = 90.00°, β = 90.00°, γ = 90.00°
Space group Pm-3m (No. 221)
Symmetry-distinct sites (fractional):
La 0.000 0.000 0.000
Hf 0.000 0.000 0.500
As 0.500 0.500 0.500

***

(3)
A plane-wave DFT calculation with GGA-PBE was carried out for Ce3Al2GaAu6 after structural relaxation.

Summary:
The volume comes out at 23.1 A^3/atom. The raw total energy comes out at -4.39 eV/atom. The calculation puts the energy of formation from the pure elements at -0.389 eV per atom. Its total magnetic moment is 2.8 μB/cell.

a = 6.0903 Å, b = 6.0903 Å, c = 8.6212 Å
α = 90.00°, β = 90.00°, γ = 120.00°
Space group P-3m1 (No. 164)
Symmetry-distinct sites (fractional):
Ce 0.0000 0.0000 0.0000
Ce 0.3333 0.6667 0.6287
Al 0.3333 0.6667 0.0331
Ga 0.0000 0.0000 0.5000
Au 0.1755 0.3510 0.2769

***

(4)
A plane-wave DFT calculation with GGA-PBE was carried out for Ac2PrSn3Pd4 after structural relaxation.

Summary:
The volume comes out at 25.3 A^3/atom. The raw total energy comes out at -5.40 eV/atom. The calculation puts the energy of formation from the pure elements at -0.818 eV per atom. Its total magnetic moment is 0.0 μB/cell.

a = 4.729 Å, b = 4.729 Å, c = 11.321 Å
α = 90.00°, β = 90.00°, γ = 90.00°
Space group P-4m2 (No. 115)
Symmetry-distinct sites (fractional):
Ac 0.000 0.500 0.224
Pr 0.000 0.000 0.500
Sn 0.000 0.500 0.882
Sn 0.500 0.500 0.500
Pd 0.000 0.000 0.000
Pd 0.000 0.500 0.649
Pd 0.500 0.500 0.000

***

(5)
A plane-wave DFT calculation with GGA-PBE was carried out for TeAs2O2 after structural relaxation.

Summary:
The volume comes out at 16.3 A^3/atom. The raw total energy comes out at -4.87 eV/atom. Its total magnetic moment is 0.0 μB/cell.

a = 3.681 Å, b = 3.681 Å, c = 12.001 Å
α = 90.00°, β = 90.00°, γ = 90.00°
Space group I4/mmm (No. 139)
Symmetry-distinct sites (fractional):
Te 0.000 0.000 0.000
As 0.000 0.000 0.343
O 0.000 0.500 0.250

***

(6)
A plane-wave DFT calculation with GGA-PBE was carried out for Cr2FeBr2 after structural relaxation.

Summary:
The volume comes out at 18.2 A^3/atom. The raw total energy comes out at -5.12 eV/atom. Its total magnetic moment is 12.4 μB/cell.

a = 4.122 Å, b = 4.122 Å, c = 10.696 Å
α = 90.00°, β = 90.00°, γ = 90.00°
Space group I4/mmm (No. 139)
Symmetry-distinct sites (fractional):
Cr 0.000 0.500 0.250
Fe 0.000 0.000 0.000
Br 0.000 0.000 0.363

***

(7)
A plane-wave DFT calculation with GGA-PBE was carried out for PmZn6Au4 after structural relaxation.

Summary:
The volume comes out at 18.4 A^3/atom. The raw total energy comes out at -2.68 eV/atom. The calculation puts the energy of formation from the pure elements at -0.365 eV per atom. Its total magnetic moment is 0.0 μB/cell.

a = 7.4732 Å, b = 7.4732 Å, c = 4.1799 Å
α = 90.00°, β = 90.00°, γ = 120.00°
Space group P-6m2 (No. 187)
Symmetry-distinct sites (fractional):
Pm 0.0000 0.0000 0.0000
Zn 0.2057 0.4114 0.5000
Zn 0.5385 0.0770 0.0000
Au 0.3333 0.6667 0.0000
Au 0.3885 0.1943 0.5000

***

(8)
A plane-wave DFT calculation with GGA-PBE was carried out for Er3Al7Ir2 after structural relaxation.

Summary:
The volume comes out at 18.7 A^3/atom. The raw total energy comes out at -5.44 eV/atom. The calculation puts the energy of formation from the pure elements at -0.640 eV per atom. Its total magnetic moment is 0.0 μB/cell.

a = 5.4759 Å, b = 5.4759 Å, c = 25.8641 Å
α = 90.00°, β = 90.00°, γ = 120.00°
Space group R-3m (No. 166, hexagonal axes)
Symmetry-distinct sites (fractional):
Er 0.0000 0.0000 0.0000
Er 0.0000 0.0000 0.1474
Al 0.0000 0.0000 0.5000
Al 0.0077 0.5039 0.9221
Ir 0.0000 0.0000 0.3367

***

(9)
A plane-wave DFT calculation with GGA-PBE was carried out for ZnFeCu2 after structural relaxation.

Summary:
The volume comes out at 12.4 A^3/atom. The raw total energy comes out at -4.46 eV/atom. The calculation puts the energy of formation from the pure elements at 0.023 eV per atom. Its total magnetic moment is 2.5 μB/cell.

a = 2.598 Å, b = 2.598 Å, c = 7.334 Å
α = 90.00°, β = 90.00°, γ = 90.00°
Space group P4mm (No. 99)
Symmetry-distinct sites (fractional):
Zn 0.000 0.000 0.000
Fe 0.500 0.500 0.746
Cu 0.000 0.000 0.501
Cu 0.500 0.500 0.257

***

(10)
A plane-wave DFT calculation with GGA-PBE was carried out for La7Nd2Mg2 after structural relaxation.

Summary:
The volume comes out at 34.2 A^3/atom. The raw total energy comes out at -4.22 eV/atom. The calculation puts the energy of formation from the pure elements at 0.071 eV per atom. Its total magnetic moment is 0.0 μB/cell.

a = 10.939 Å, b = 11.811 Å, c = 6.272 Å
α = 90.00°, β = 111.97°, γ = 90.00°
Space group C2/m (No. 12)
Symmetry-distinct sites (fractional):
La 0.000 0.000 0.000
La 0.085 0.500 0.797
La 0.177 0.247 0.170
Nd 0.205 0.000 0.589
Mg 0.000 0.230 0.500

***

(11)
A plane-wave DFT calculation with GGA-PBE was carried out for Tl2H5Au after structural relaxation.

Summary:
The volume comes out at 16.3 A^3/atom. The raw total energy comes out at -2.88 eV/atom. Its total magnetic moment is 0.0 μB/cell.

a = 4.768 Å, b = 5.165 Å, c = 5.751 Å
α = 100.24°, β = 90.17°, γ = 110.31°
Space group P1 (No. 1)
Symmetry-distinct sites (fractional):
Tl 0.000 0.000 0.000
Tl 0.217 0.655 0.410
H 0.327 0.017 0.726
H 0.502 0.571 0.780
H 0.526 0.313 0.397
H 0.828 0.396 0.937
H 0.850 0.139 0.555
Au 0.661 0.340 0.670

***

(12)
A plane-wave DFT calculation with GGA-PBE was carried out for Pm5CoAg after structural relaxation.

Summary:
The volume comes out at 28.6 A^3/atom. The raw total energy comes out at -4.83 eV/atom. The calculation puts the energy of formation from the pure elements at -0.012 eV per atom. Its total magnetic moment is 0.0 μB/cell.

a = 9.726 Å, b = 7.310 Å, c = 11.819 Å
α = 90.00°, β = 107.72°, γ = 90.00°
Space group C2/c (No. 15)
Symmetry-distinct sites (fractional):
Pm 0.000 0.012 0.250
Pm 0.119 0.326 0.560
Pm 0.243 0.168 0.130
Co 0.000 0.000 0.000
Ag 0.000 0.423 0.250